No. 1
5
Lattice="5.327 0.000 0.000 0.000 5.478 0.000 0.000 0.000 5.327" Properties=species:S:1:pos:R:3 comment="PBE InMoAs2Pb, optimized geometry" sg="P4/mmm, No. 123" formation_enthalpy_0k_ev_per_fu=7.25 dos_at_fermi_per_ev_atom=0.7807 pbc="T T T"
Mo 2.663 2.739 2.663
Pb 0.000 2.739 0.000
As 2.663 0.000 0.000
As 0.000 0.000 2.663
In 0.000 0.000 0.000

No. 2
5
Lattice="5.562 0.000 0.000 0.000 5.276 0.000 0.000 0.000 5.562" Properties=species:S:1:pos:R:3 comment="PBE In2SbMoAs, optimized geometry" sg="P4/mmm, No. 123" dos_at_fermi_per_ev_atom=1.1444 raw_formation_energy_ev_per_fu=6.1 pbc="T T T"
In 0.000 0.000 2.781
In 2.781 0.000 0.000
Mo 0.000 2.638 0.000
As 2.781 2.638 2.781
Sb 0.000 0.000 0.000

No. 3
5
Lattice="5.097 0.000 0.000 0.000 5.097 0.000 0.000 0.000 5.100" Properties=species:S:1:pos:R:3 comment="PBE InMoAsSe2, optimized geometry" sg="P4/mmm, No. 123" polymorph_energy_mev_per_atom=0.0 dos_at_fermi_per_ev_atom=0.9047 raw_formation_energy_ev_per_fu=0.7 pbc="T T T"
Mo 0.000 0.000 0.000
Se 2.548 0.000 0.000
Se 0.000 2.548 0.000
As 0.000 0.000 2.550
In 2.548 2.548 2.550

No. 4
5
Lattice="-4.129 -3.417 0.959 -0.544 -0.827 -5.287 3.506 -4.156 0.289" Properties=species:S:1:pos:R:3 comment="PBE Tl2InMoAs, optimized geometry" sg="P4/mmm, No. 123" formation_enthalpy_0k_ev_per_fu=4.53 dos_at_fermi_per_ev_atom=0.5616 pbc="T T T"
In -0.272 -0.413 -2.644
Tl 1.753 -2.078 0.145
Tl -2.065 -1.708 0.480
Mo 0.000 0.000 0.000
As -0.584 -4.200 -2.019

So what do the calculations give for spin magnetization? Going down the list: 0.78 0.63 0.00 0.69 μB per atom.
So what do the calculations give for volume? Going down the list: 155 163 132 159 Å³/cell.
So what do the calculations give for total DFT energy (no corrections)? Going down the list: -19.32 -18.96 -24.52 -18.42 eV/cell.